(1)
A relaxed structure of Zr2Si. Source: Alexandria, functional PBE.

Cell and atoms, written as extended XYZ:
```
6
Lattice="-2.1092 -0.8980 -4.9091 0.6378 -3.3188 -4.2348 -4.7422 -5.7256 -1.2365" Properties=species:S:1:pos:R:3 pbc="T T T"
Zr -5.4290 -8.1742 -7.2286
Zr -3.0154 -5.8693 -8.7867
Zr -3.1982 -4.0731 -1.5936
Zr -0.7846 -1.7683 -3.1517
Si -2.5505 -4.6261 -6.2173
Si -3.6631 -5.3164 -4.1630
```

Values from the calculation:
Symmetry   No. 12
Formation energy (no corrections)   -652 meV/atom
Magnetization   0.0 μB/cell
D(E_F)   1.064 states/eV per atom
Energy   -8.1588 eV per atom

(2)
A relaxed structure of Dy2Er3Ag2. Source: Alexandria, functional PBE.

Cell and atoms, written as extended XYZ:
```
7
Lattice="5.3147 0.0000 0.0000 -2.6574 4.5883 -0.3548 0.0000 -2.4674 7.8621" Properties=species:S:1:pos:R:3 pbc="T T T"
Dy 2.6574 3.2200 1.8451
Dy 0.0000 -1.0991 5.6623
Er 2.6574 0.0000 0.0000
Er 0.0000 1.8363 3.8365
Er 2.6573 0.2847 3.6709
Ag 0.0000 1.6075 0.9314
Ag 2.6573 0.5134 6.5759
```

Values from the calculation:
Symmetry   No. 166
Magnetization   0.0 μB/cell
D(E_F)   1.072 states/eV per atom
Energy relative to the lowest polymorph listed for this composition   63 meV/atom
Energy   -4.1969 eV per atom